No. 1
An optimized crystal structure of Ba4Pd, computed with PBE-GGA.

abc: 6.453 6.453 6.453
angles: 90.00 90.00 90.00
Sites, in units of the cell vectors:
Ba: 0.000 0.000 0.000
Ba: 0.000 0.500 0.500
Ba: 0.500 0.000 0.500
Ba: 0.500 0.500 0.000
Pd: 0.500 0.500 0.500

ΔE to the lowest computed polymorph, kJ per mole of atoms: 3.0
DFT formation energy, meV per atom: -240


No. 2
An optimized crystal structure of BaHgPdAu2, computed with PBE-GGA.

abc: 5.270 5.270 5.166
angles: 90.00 90.00 90.00
Sites, in units of the cell vectors:
Ba: 0.000 0.000 0.000
Hg: 0.500 0.500 0.000
Pd: 0.500 0.500 0.500
Au: 0.000 0.500 0.500
Au: 0.500 0.000 0.500

DFT formation energy, meV per atom: -333


No. 3
An optimized crystal structure of Zr4SiC2, computed with PBE-GGA.

abc: 5.906 5.906 11.740
angles: 90.00 90.00 146.14
Sites, in units of the cell vectors:
Zr: 0.000 0.000 0.000
Zr: 0.000 0.000 0.500
Zr: 0.265 0.735 0.609
Zr: 0.265 0.735 0.891
Zr: 0.428 0.572 0.250
Zr: 0.572 0.428 0.750
Zr: 0.735 0.265 0.109
Zr: 0.735 0.265 0.391
Si: 0.108 0.892 0.250
Si: 0.892 0.108 0.750
C: 0.364 0.636 0.061
C: 0.364 0.636 0.439
C: 0.636 0.364 0.561
C: 0.636 0.364 0.939


No. 4
An optimized crystal structure of DyTm6In4, computed with PBE-GGA.

abc: 9.971 9.971 3.650
angles: 90.00 90.00 120.00
Sites, in units of the cell vectors:
Dy: 0.000 0.000 0.000
Tm: 0.189 0.379 0.500
Tm: 0.189 0.811 0.500
Tm: 0.536 0.073 0.000
Tm: 0.536 0.464 0.000
Tm: 0.621 0.811 0.500
Tm: 0.927 0.464 0.000
In: 0.324 0.162 0.500
In: 0.333 0.667 0.000
In: 0.838 0.162 0.500
In: 0.838 0.676 0.500

DFT formation energy, meV per atom: -278


No. 5
An optimized crystal structure of YScTaO6, computed with PBE-GGA.

abc: 4.955 4.955 9.826
angles: 90.00 90.00 90.00
Sites, in units of the cell vectors:
Y: 0.000 0.000 0.000
Y: 0.500 0.500 0.500
Sc: 0.000 0.000 0.337
Sc: 0.500 0.500 0.837
Ta: 0.000 0.000 0.664
Ta: 0.500 0.500 0.164
O: 0.182 0.182 0.508
O: 0.198 0.198 0.812
O: 0.213 0.213 0.179
O: 0.287 0.713 0.679
O: 0.302 0.698 0.312
O: 0.318 0.682 0.008
O: 0.682 0.318 0.008
O: 0.698 0.302 0.312
O: 0.713 0.287 0.679
O: 0.787 0.787 0.179
O: 0.802 0.802 0.812
O: 0.818 0.818 0.508


No. 6
An optimized crystal structure of BaLiSmO3, computed with PBE-GGA.

abc: 6.098 6.098 6.386
angles: 90.00 90.00 120.00
Sites, in units of the cell vectors:
Ba: 0.333 0.667 0.250
Ba: 0.667 0.333 0.750
Li: 0.333 0.667 0.750
Li: 0.667 0.333 0.250
Sm: 0.000 0.000 0.000
Sm: 0.000 0.000 0.500
O: 0.163 0.325 0.750
O: 0.163 0.837 0.750
O: 0.325 0.163 0.250
O: 0.675 0.837 0.750
O: 0.837 0.163 0.250
O: 0.837 0.675 0.250


No. 7
An optimized crystal structure of Er2Pd3Pb, computed with PBE-GGA.

abc: 7.442 7.442 5.628
angles: 90.00 90.00 62.51
Sites, in units of the cell vectors:
Er: 0.013 0.660 0.750
Er: 0.340 0.987 0.750
Er: 0.660 0.013 0.250
Er: 0.987 0.340 0.250
Pd: 0.000 0.000 0.000
Pd: 0.000 0.000 0.500
Pd: 0.328 0.328 0.000
Pd: 0.328 0.328 0.500
Pd: 0.672 0.672 0.000
Pd: 0.672 0.672 0.500
Pb: 0.323 0.677 0.250
Pb: 0.677 0.323 0.750

DFT formation energy, meV per atom: -668


No. 8
An optimized crystal structure of InSiRu2, computed with PBE-GGA.

abc: 8.691 8.691 8.691
angles: 19.48 19.48 19.48
Sites, in units of the cell vectors:
In: 0.000 0.000 0.000
Si: 0.237 0.237 0.237
Ru: 0.503 0.503 0.503
Ru: 0.754 0.754 0.754


No. 9
An optimized crystal structure of RbZnCdSb2, computed with PBE-GGA.

abc: 8.903 8.903 8.903
angles: 151.53 151.53 40.70
Sites, in units of the cell vectors:
Rb: 0.000 0.000 0.000
Zn: 0.750 0.250 0.500
Cd: 0.250 0.750 0.500
Sb: 0.361 0.361 0.000
Sb: 0.639 0.639 0.000


No. 10
An optimized crystal structure of NbGaTeI2, computed with PBE-GGA.

abc: 5.817 5.817 5.416
angles: 90.00 90.00 90.00
Sites, in units of the cell vectors:
Nb: 0.000 0.000 0.000
Ga: 0.500 0.500 0.500
Te: 0.000 0.000 0.500
I: 0.000 0.500 0.000
I: 0.500 0.000 0.000

ΔE to the lowest computed polymorph, kJ per mole of atoms: 0.0


No. 11
An optimized crystal structure of Li2TbTmGe2, computed with PBE-GGA.

abc: 4.395 4.395 7.122
angles: 90.00 90.00 120.00
Sites, in units of the cell vectors:
Li: 0.333 0.667 0.235
Li: 0.667 0.333 0.765
Tb: 0.000 0.000 0.500
Tm: 0.000 0.000 0.000
Ge: 0.333 0.667 0.756
Ge: 0.667 0.333 0.244

DFT formation energy, meV per atom: -683


No. 12
An optimized crystal structure of Pm4AlSn, computed with PBE-GGA.

abc: 5.228 5.228 7.385
angles: 90.00 90.00 90.00
Sites, in units of the cell vectors:
Pm: 0.000 0.500 0.238
Pm: 0.000 0.500 0.762
Pm: 0.500 0.000 0.238
Pm: 0.500 0.000 0.762
Al: 0.000 0.000 0.000
Sn: 0.500 0.500 0.500

ΔE to the lowest computed polymorph, kJ per mole of atoms: 0.0
DFT formation energy, meV per atom: -234


No. 13
An optimized crystal structure of ScUGaTc, computed with PBE-GGA.

abc: 4.673 4.673 4.673
angles: 60.00 60.00 60.00
Sites, in units of the cell vectors:
Sc: 0.000 0.000 0.000
U: 0.750 0.750 0.750
Ga: 0.250 0.250 0.250
Tc: 0.500 0.500 0.500

DFT formation energy, meV per atom: -87


No. 14
An optimized crystal structure of LiPb4Au, computed with PBE-GGA.

abc: 6.384 6.384 6.384
angles: 60.00 60.00 60.00
Sites, in units of the cell vectors:
Li: 0.000 0.000 0.000
Pb: 0.125 0.625 0.625
Pb: 0.625 0.125 0.625
Pb: 0.625 0.625 0.125
Pb: 0.625 0.625 0.625
Au: 0.250 0.250 0.250

DFT formation energy, meV per atom: 210


No. 15
An optimized crystal structure of TbIn2GeTe4, computed with PBE-GGA.

abc: 7.691 4.384 7.930
angles: 90.00 108.74 90.00
Sites, in units of the cell vectors:
Tb: 0.000 0.000 0.000
In: 0.000 0.500 0.500
In: 0.500 0.000 0.500
Ge: 0.500 0.500 0.000
Te: 0.247 0.500 0.229
Te: 0.259 0.000 0.772
Te: 0.741 0.000 0.228
Te: 0.753 0.500 0.771


No. 16
An optimized crystal structure of ScAlZn2, computed with PBE-GGA.

abc: 8.096 8.096 8.867
angles: 90.00 90.00 150.82
Sites, in units of the cell vectors:
Sc: 0.000 0.000 0.000
Sc: 0.000 0.000 0.500
Sc: 0.194 0.806 0.750
Sc: 0.806 0.194 0.250
Al: 0.359 0.641 0.030
Al: 0.359 0.641 0.470
Al: 0.641 0.359 0.530
Al: 0.641 0.359 0.970
Zn: 0.196 0.804 0.105
Zn: 0.196 0.804 0.395
Zn: 0.388 0.612 0.750
Zn: 0.458 0.542 0.250
Zn: 0.542 0.458 0.750
Zn: 0.612 0.388 0.250
Zn: 0.804 0.196 0.605
Zn: 0.804 0.196 0.895

DFT formation energy, meV per atom: -287


Computed total DFT energy (no corrections), in the same sequence as the records: -2.816 -3.127 -9.068 -4.132 -9.039 -6.468 -5.404 -6.493 -2.492 -3.818 -4.377 -4.692 -7.841 -3.128 -3.953 -3.443 eV per atom.
Computed calculated volume, in the same sequence as the records: 268.7 143.5 228.2 314.3 241.2 205.6 276.5 63.8 160.0 183.3 119.1 201.8 72.2 183.9 253.2 283.3 Å³ per cell.
Computed magnetic moment, in the same sequence as the records: 0.0 0.0 0.0 2.2 1.0 0.0 0.0 0.2 0.0 1.9 0.0 0.0 1.1 0.0 0.0 0.0 μB/f.u..